[1]
Crystalline Pm5Ho2Er at its relaxed geometry, computed with PBE-GGA.

abc: 6.4156 25.5893 6.5781
angles: 90.00 94.84 90.00
With the nearest neighbours (Å) after each atom.
Space group C2/c (No. 15)
Inequivalent atoms, fractional coordinates:
Pm  0.0000  0.1233  0.2500 x4  4 Pm 3.11-3.24
Pm  0.1859  0.3155  0.9958 x8  2 Pm 3.06-3.11, 1 Ho 3.26
Pm  0.2429  0.4021  0.3164 x8  3 Pm 3.06-3.24, 1 Ho 3.18
Ho  0.0000  0.0000  0.0000 x4  4 Pm 3.18-3.56, 2 Ho 3.29
Ho  0.2500  0.2500  0.5000 x4  2 Pm 3.26
Er  0.0000  0.4540  0.7500 x4  8 Pm 3.62-4.03, 4 Ho 3.67-3.91, 2 Er 4.05

Values from the calculation:
- formation energy (meV per atom) = 280.8
- polymorph energy (0 for the lowest one) (meV/atom) = 264.0

=====

[2]
Crystalline Ac3GdH at its relaxed geometry, computed with PBE-GGA.

abc: 5.5023 5.5023 5.5023
angles: 90.00 90.00 90.00
With the nearest neighbours (Å) after each atom.
Space group Pm-3m (No. 221)
Inequivalent atoms, fractional coordinates:
Ac  0.0000  0.0000  0.5000 x3  2 H 2.75
Gd  0.5000  0.5000  0.5000 x1  12 Ac 3.89
H  0.0000  0.0000  0.0000 x1  6 Ac 2.75

Values from the calculation:
- energy (eV per cell) = -30.4

=====

[3]
Crystalline BBrF2 at its relaxed geometry, computed with PBE-GGA.

abc: 6.1387 6.1387 6.1387
angles: 90.00 90.00 90.00
With the nearest neighbours (Å) after each atom.
Space group Fm-3m (No. 225)
Inequivalent atoms, fractional coordinates:
B  0.0000  0.0000  0.0000 x4  8 F 2.66
Br  0.0000  0.0000  0.5000 x4  8 F 2.66
F  0.2500  0.2500  0.2500 x8  4 Br 2.66, 4 B 2.66

Values from the calculation:
- formation energy from raw total energies (kJ/mol of formula units) = 303.8
- polymorph energy (0 for the lowest one) (meV/atom) = 2792.6

=====

[4]
Crystalline Sm2TmIn2 at its relaxed geometry, computed with PBE-GGA.

abc: 3.7705 5.3656 14.1822
angles: 90.00 97.65 90.00
With the nearest neighbours (Å) after each atom.
Space group P2_1/m (No. 11)
Inequivalent atoms, fractional coordinates:
Sm  0.0466  0.2500  0.0936 x2  8 In 3.28-3.38
Sm  0.2373  0.2500  0.4743 x2  2 In 3.25, 4 Sm 3.36
Tm  0.1488  0.7500  0.2988 x2  6 In 3.28-3.30, 2 Sm 3.64
In  0.3578  0.7500  0.7140 x2  4 Sm 3.25-3.30, 4 Tm 3.28
In  0.4466  0.2500  0.8938 x2  6 Sm 3.28-3.38, 2 Tm 3.30

Values from the calculation:
- formation energy (meV per atom) = -367.9
- polymorph energy (0 for the lowest one) (meV/atom) = 0.0

=====

no.,total magnetization (μB/atom)
1,0.00
2,1.40
3,0.50
4,0.00